{
  "formula": "TlPtBr2",
  "functional": "GGA-PBE",
  "state": "optimized geometry",
  "magnetic_moment_mub_per_atom": 0.0000,
  "final_energy_ev_per_cell": -10.87,
  "de_polymorph_kj_per_mol_atoms": 40.8,
  "dos_ef_per_ev_fu": 3.493,
  "raw_formation_energy_ev_per_atom": 0.2211,
  "lattice_angstrom": [[-2.0354, 2.0354, 6.4869], [2.0354, -2.0354, 6.4869], [2.0354, 2.0354, -6.4869]],
  "species": ["Tl", "Pt", "Br", "Br"],
  "fractional_positions": [[0.0000, 0.0000, 0.0000], [0.7500, 0.2500, 0.5000], [0.2500, 0.7500, 0.5000], [0.5000, 0.5000, 0.0000]]
}

***

{
  "formula": "PmBiAuO4",
  "functional": "GGA-PBE",
  "state": "optimized geometry",
  "magnetic_moment_mub_per_atom": 0.0000,
  "final_energy_ev_per_cell": -84.67,
  "dos_ef_per_ev_fu": 1.905,
  "raw_formation_energy_ev_per_atom": -1.5135,
  "lattice_angstrom": [[-3.4938, 3.6185, 4.7877], [3.4938, -3.6185, 4.7877], [3.4938, 3.6185, -4.7877]],
  "species": ["Pm", "Pm", "Bi", "Bi", "Au", "Au", "O", "O", "O", "O", "O", "O", "O", "O"],
  "fractional_positions": [[0.0000, 0.0000, 0.0000], [0.5000, 0.0000, 0.5000], [0.4437, 0.6937, 0.7500], [0.5563, 0.3063, 0.2500], [0.0000, 0.0000, 0.5000], [0.0000, 0.5000, 0.0000], [0.1743, 0.2446, 0.9297], [0.1851, 0.7554, 0.4297], [0.3383, 0.2810, 0.4428], [0.3383, 0.8955, 0.0572], [0.6617, 0.1045, 0.9428], [0.6617, 0.7190, 0.5572], [0.8149, 0.2446, 0.5703], [0.8257, 0.7554, 0.0703]]
}

***

{
  "formula": "PaCuTe4",
  "functional": "GGA-PBE",
  "state": "optimized geometry",
  "magnetic_moment_mub_per_atom": 0.0000,
  "final_energy_ev_per_cell": -28.19,
  "dos_ef_per_ev_fu": 3.033,
  "raw_formation_energy_ev_per_atom": -0.3381,
  "lattice_angstrom": [[3.3197, -3.7439, 0.0000], [3.3197, 3.7439, 0.0000], [-1.5890, 0.0000, 7.4067]],
  "species": ["Pa", "Cu", "Te", "Te", "Te", "Te"],
  "fractional_positions": [[0.0000, 0.0000, 0.0000], [0.5000, 0.5000, 0.5000], [0.0755, 0.5641, 0.2543], [0.4360, 0.9245, 0.7457], [0.5641, 0.0755, 0.2543], [0.9245, 0.4360, 0.7457]]
}

***

{
  "formula": "Rb2LiSeBr6",
  "functional": "GGA-PBE",
  "state": "optimized geometry",
  "magnetic_moment_mub_per_atom": 0.0000,
  "final_energy_ev_per_cell": -27.03,
  "dos_ef_per_ev_fu": 5.823,
  "raw_formation_energy_ev_per_atom": -0.9662,
  "lattice_angstrom": [[-3.8670, 3.8670, 5.4501], [3.8670, -3.8670, 5.4501], [3.8670, 3.8670, -5.4501]],
  "species": ["Rb", "Rb", "Li", "Se", "Br", "Br", "Br", "Br", "Br", "Br"],
  "fractional_positions": [[0.2500, 0.7500, 0.5000], [0.7500, 0.2500, 0.5000], [0.0000, 0.0000, 0.0000], [0.5000, 0.5000, 0.0000], [0.2441, 0.2441, 0.4881], [0.2441, 0.7559, 0.0000], [0.2629, 0.2629, 0.0000], [0.7371, 0.7371, 0.0000], [0.7559, 0.2441, 0.0000], [0.7559, 0.7559, 0.5119]]
}

***

{
  "formula": "BeRh2CBr",
  "functional": "GGA-PBE",
  "state": "optimized geometry",
  "magnetic_moment_mub_per_atom": 0.0000,
  "final_energy_ev_per_cell": -18.14,
  "dos_ef_per_ev_fu": 3.302,
  "raw_formation_energy_ev_per_atom": 2.2365,
  "lattice_angstrom": [[4.6551, 0.0000, 0.0000], [0.0000, 4.6551, 0.0000], [0.0000, 0.0000, 3.9325]],
  "species": ["Be", "Rh", "Rh", "C", "Br"],
  "fractional_positions": [[0.0000, 0.0000, 0.0000], [0.0000, 0.5000, 0.5000], [0.5000, 0.0000, 0.5000], [0.5000, 0.5000, 0.0000], [0.0000, 0.0000, 0.5000]]
}

***

{
  "formula": "PrTm3Tl4",
  "functional": "GGA-PBE",
  "state": "optimized geometry",
  "magnetic_moment_mub_per_atom": 0.0000,
  "final_energy_ev_per_cell": -60.34,
  "de_polymorph_kj_per_mol_atoms": 0.0,
  "formation_enthalpy_0k_kj_per_mol_atoms": -30.3,
  "dos_ef_per_ev_fu": 6.362,
  "lattice_angstrom": [[10.7882, 0.0000, 0.0000], [0.0000, 7.5670, 0.0000], [0.0000, 0.0000, 5.3919]],
  "species": ["Pr", "Pr", "Tm", "Tm", "Tm", "Tm", "Tm", "Tm", "Tl", "Tl", "Tl", "Tl", "Tl", "Tl", "Tl", "Tl"],
  "fractional_positions": [[0.0000, 0.0000, 0.0000], [0.5000, 0.0000, 0.0000], [0.0000, 0.5000, 0.0000], [0.2500, 0.0000, 0.4984], [0.2500, 0.5000, 0.4977], [0.5000, 0.5000, 0.0000], [0.7500, 0.0000, 0.5016], [0.7500, 0.5000, 0.5023], [0.0000, 0.2599, 0.5000], [0.0000, 0.7401, 0.5000], [0.2500, 0.2599, 0.9977], [0.2500, 0.7401, 0.9977], [0.5000, 0.2599, 0.5000], [0.5000, 0.7401, 0.5000], [0.7500, 0.2599, 0.0023], [0.7500, 0.7401, 0.0023]]
}

***

{
  "formula": "Be2AlFe",
  "functional": "GGA-PBE",
  "state": "optimized geometry",
  "magnetic_moment_mub_per_atom": 0.2466,
  "final_energy_ev_per_cell": -20.44,
  "formation_enthalpy_0k_kj_per_mol_atoms": -18.8,
  "dos_ef_per_ev_fu": 0.684,
  "lattice_angstrom": [[-1.6607, 1.6607, 3.6918], [1.6607, -1.6607, 3.6918], [1.6607, 1.6607, -3.6918]],
  "species": ["Be", "Be", "Al", "Fe"],
  "fractional_positions": [[0.0000, 0.0000, 0.0000], [0.7500, 0.2500, 0.5000], [0.5000, 0.5000, 0.0000], [0.2500, 0.7500, 0.5000]]
}

***

{
  "formula": "KMn2VCl8",
  "functional": "GGA-PBE",
  "state": "optimized geometry",
  "magnetic_moment_mub_per_atom": 1.0000,
  "final_energy_ev_per_cell": -58.04,
  "dos_ef_per_ev_fu": 8.034,
  "raw_formation_energy_ev_per_atom": -1.2256,
  "lattice_angstrom": [[6.2526, 0.0000, 0.0000], [1.4897, 6.0740, 0.0000], [1.7267, 1.3615, 8.3581]],
  "species": ["K", "Mn", "Mn", "V", "Cl", "Cl", "Cl", "Cl", "Cl", "Cl", "Cl", "Cl"],
  "fractional_positions": [[0.0000, 0.0000, 0.0000], [0.4409, 0.4407, 0.2293], [0.5591, 0.5593, 0.7707], [0.0000, 0.0000, 0.5000], [0.1916, 0.7477, 0.7072], [0.2464, 0.2448, 0.4713], [0.2511, 0.8076, 0.2931], [0.3325, 0.3311, 0.0131], [0.6675, 0.6689, 0.9869], [0.7489, 0.1924, 0.7069], [0.7536, 0.7552, 0.5287], [0.8084, 0.2523, 0.2928]]
}